Computed, not measured: an optimized crystal structure of Hf2FePF at the GGA+U level of DFT.

For the magnetization, the calculation gives 1.34 μB per formula unit. The electronic total energy comes out at -6.47 eV/atom.

The structure belongs to space group P4/mmm (No. 123); the cell edges are 4.9041, 4.9041 and 4.2263 Å and the angles 90.00°, 90.00° and 90.00°. The asymmetric unit holds Hf at (0.0000, 0.5000, 0.0000), Fe at (0.0000, 0.0000, 0.5000), P at (0.0000, 0.0000, 0.0000) and F at (0.5000, 0.5000, 0.5000).